[1]
# La2MgCd4

An optimized crystal structure of La2MgCd4 (PBE, Alexandria).

```
data_La2MgCd4
_chemical_formula_sum 'La2 Mg1 Cd4'
_cell_length_a 5.254
_cell_length_b 5.254
_cell_length_c 9.135
_cell_angle_alpha 73.29
_cell_angle_beta 73.29
_cell_angle_gamma 60.00
_symmetry_space_group_name_H-M 'P 1'
_symmetry_Int_Tables_number 1
_symmetry_space_group_name_Hall 'P 1'
loop_
_atom_site_label
_atom_site_fract_x
_atom_site_fract_y
_atom_site_fract_z
La1 0.748 0.748 0.757
La2 0.252 0.252 0.243
Mg1 0.000 0.000 0.000
Cd1 0.874 0.874 0.379
Cd2 0.126 0.126 0.621
Cd3 0.624 0.624 0.129
Cd4 0.376 0.376 0.871
```

energy of formation from the pure elements: -168 meV/atom
size of the total moment: 0.00 μB per formula unit
VASP energy: -2.326 eV per atom
crystal system: trigonal

***

[2]
# LaMgCd2

An optimized crystal structure of LaMgCd2 (PBE, Alexandria).

```
data_LaMgCd2
_chemical_formula_sum 'La2 Mg2 Cd4'
_cell_length_a 4.892
_cell_length_b 4.892
_cell_length_c 10.651
_cell_angle_alpha 76.73
_cell_angle_beta 76.73
_cell_angle_gamma 90.00
_symmetry_space_group_name_H-M 'P 1'
_symmetry_Int_Tables_number 1
_symmetry_space_group_name_Hall 'P 1'
loop_
_atom_site_label
_atom_site_fract_x
_atom_site_fract_y
_atom_site_fract_z
Mg1 0.500 0.500 0.000
Mg2 0.250 0.750 0.500
Cd1 0.538 0.125 0.250
Cd2 0.212 0.625 0.250
Cd3 0.375 0.462 0.750
Cd4 0.875 0.788 0.750
La1 0.000 0.000 0.000
La2 0.750 0.250 0.500
```

energy of formation from the pure elements: 23 meV/atom
size of the total moment: 0.00 μB per formula unit
VASP energy: -2.065 eV per atom
crystal system: tetragonal

***

[3]
# La5MgCd3

An optimized crystal structure of La5MgCd3 (PBE, Alexandria).

```
data_La5MgCd3
_chemical_formula_sum 'La10 Mg2 Cd6'
_cell_length_a 6.985
_cell_length_b 9.697
_cell_length_c 9.696
_cell_angle_alpha 120.00
_cell_angle_beta 90.00
_cell_angle_gamma 90.00
_symmetry_space_group_name_H-M 'P 1'
_symmetry_Int_Tables_number 1
_symmetry_space_group_name_Hall 'P 1'
loop_
_atom_site_label
_atom_site_fract_x
_atom_site_fract_y
_atom_site_fract_z
La1 0.000 0.667 0.333
La2 0.500 0.333 0.667
La3 0.000 0.333 0.667
La4 0.500 0.667 0.333
La5 0.750 0.687 0.687
La6 0.750 0.000 0.313
La7 0.750 0.313 0.000
La8 0.250 0.313 0.313
La9 0.250 0.000 0.687
La10 0.250 0.687 0.000
Mg1 0.000 0.000 0.000
Mg2 0.500 0.000 0.000
Cd1 0.750 0.347 0.347
Cd2 0.750 0.000 0.653
Cd3 0.750 0.653 0.000
Cd4 0.250 0.653 0.653
Cd5 0.250 0.000 0.347
Cd6 0.250 0.347 0.000
```

energy of formation from the pure elements: -178 meV/atom
size of the total moment: 0.00 μB per formula unit
VASP energy: -3.398 eV per atom
crystal system: hexagonal

***

[4]
# LaMgCd

An optimized crystal structure of LaMgCd (PBE, Alexandria).

```
data_LaMgCd
_chemical_formula_sum 'La1 Mg1 Cd1'
_cell_length_a 5.262
_cell_length_b 5.262
_cell_length_c 5.262
_cell_angle_alpha 60.00
_cell_angle_beta 60.00
_cell_angle_gamma 60.00
_symmetry_space_group_name_H-M 'P 1'
_symmetry_Int_Tables_number 1
_symmetry_space_group_name_Hall 'P 1'
loop_
_atom_site_label
_atom_site_fract_x
_atom_site_fract_y
_atom_site_fract_z
Cd1 0.500 0.500 0.500
La1 0.750 0.750 0.750
Mg1 0.000 0.000 0.000
```

energy of formation from the pure elements: 273 meV/atom
size of the total moment: 0.00 μB per formula unit
VASP energy: -2.206 eV per atom
crystal system: cubic

***

[5]
# LaMg2Cd3

An optimized crystal structure of LaMg2Cd3 (PBE, Alexandria).

```
data_LaMg2Cd3
_chemical_formula_sum 'La2 Mg4 Cd6'
_cell_length_a 4.983
_cell_length_b 4.983
_cell_length_c 13.934
_cell_angle_alpha 90.00
_cell_angle_beta 90.00
_cell_angle_gamma 120.00
_symmetry_space_group_name_H-M 'P 1'
_symmetry_Int_Tables_number 1
_symmetry_space_group_name_Hall 'P 1'
loop_
_atom_site_label
_atom_site_fract_x
_atom_site_fract_y
_atom_site_fract_z
La1 0.000 0.000 0.250
La2 0.000 0.000 0.750
Mg1 0.667 0.333 0.410
Mg2 0.333 0.667 0.590
Mg3 0.333 0.667 0.910
Mg4 0.667 0.333 0.090
Cd1 0.000 0.000 0.500
Cd2 0.000 0.000 0.000
Cd3 0.667 0.333 0.632
Cd4 0.333 0.667 0.132
Cd5 0.667 0.333 0.868
Cd6 0.333 0.667 0.368
```

energy above the lowest structure with this stoichiometry: 0 meV per atom
energy of formation from the pure elements: -230 meV/atom
size of the total moment: 0.00 μB per formula unit
VASP energy: -2.041 eV per atom
crystal system: hexagonal

***

[6]
# LaMg5Cd6

An optimized crystal structure of LaMg5Cd6 (PBE, Alexandria).

```
data_LaMg5Cd6
_chemical_formula_sum 'La1 Mg5 Cd6'
_cell_length_a 4.725
_cell_length_b 7.568
_cell_length_c 8.273
_cell_angle_alpha 90.00
_cell_angle_beta 90.00
_cell_angle_gamma 72.01
_symmetry_space_group_name_H-M 'P 1'
_symmetry_Int_Tables_number 1
_symmetry_space_group_name_Hall 'P 1'
loop_
_atom_site_label
_atom_site_fract_x
_atom_site_fract_y
_atom_site_fract_z
Mg1 0.670 0.662 0.500
Mg2 0.325 0.349 0.000
Mg3 0.000 0.000 0.500
Mg4 0.675 0.651 0.000
Mg5 0.330 0.338 0.500
Cd1 0.830 0.340 0.263
Cd2 0.830 0.340 0.737
Cd3 0.500 0.000 0.725
Cd4 0.500 0.000 0.275
Cd5 0.170 0.660 0.263
Cd6 0.170 0.660 0.737
La1 0.000 0.000 0.000
```

energy of formation from the pure elements: -150 meV/atom
size of the total moment: 0.00 μB per formula unit
VASP energy: -1.683 eV per atom
crystal system: monoclinic

***

[7]
# La3Mg2Cd4

An optimized crystal structure of La3Mg2Cd4 (PBE, Alexandria).

```
data_La3Mg2Cd4
_chemical_formula_sum 'La3 Mg2 Cd4'
_cell_length_a 5.202
_cell_length_b 6.258
_cell_length_c 9.653
_cell_angle_alpha 118.00
_cell_angle_beta 90.00
_cell_angle_gamma 114.56
_symmetry_space_group_name_H-M 'P 1'
_symmetry_Int_Tables_number 1
_symmetry_space_group_name_Hall 'P 1'
loop_
_atom_site_label
_atom_site_fract_x
_atom_site_fract_y
_atom_site_fract_z
La1 0.666 0.332 0.669
La2 0.000 0.000 0.000
La3 0.334 0.668 0.331
Mg1 0.616 0.231 0.283
Mg2 0.384 0.769 0.717
Cd1 0.724 0.449 0.060
Cd2 0.276 0.551 0.940
Cd3 0.944 0.887 0.612
Cd4 0.056 0.113 0.388
```

energy of formation from the pure elements: -305 meV/atom
size of the total moment: 0.00 μB per formula unit
VASP energy: -2.709 eV per atom
crystal system: monoclinic

***

[8]
# La2Mg16Cd

An optimized crystal structure of La2Mg16Cd (PBE, Alexandria).

```
data_La2Mg16Cd
_chemical_formula_sum 'La2 Mg16 Cd1'
_cell_length_a 7.828
_cell_length_b 7.828
_cell_length_c 7.828
_cell_angle_alpha 82.39
_cell_angle_beta 82.39
_cell_angle_gamma 82.39
_symmetry_space_group_name_H-M 'P 1'
_symmetry_Int_Tables_number 1
_symmetry_space_group_name_Hall 'P 1'
loop_
_atom_site_label
_atom_site_fract_x
_atom_site_fract_y
_atom_site_fract_z
La1 0.670 0.670 0.670
La2 0.331 0.331 0.331
Mg1 0.701 0.000 0.300
Mg2 0.000 0.300 0.701
Mg3 0.300 0.701 0.000
Mg4 0.000 0.701 0.300
Mg5 0.701 0.300 0.000
Mg6 0.300 0.000 0.701
Mg7 0.351 0.842 0.351
Mg8 0.842 0.351 0.351
Mg9 0.351 0.351 0.842
Mg10 0.650 0.160 0.650
Mg11 0.160 0.650 0.650
Mg12 0.650 0.650 0.160
Mg13 0.000 0.502 0.000
Mg14 0.502 0.000 0.000
Mg15 0.000 0.000 0.502
Mg16 0.094 0.094 0.094
Cd1 0.898 0.898 0.898
```

energy of formation from the pure elements: -95 meV/atom
size of the total moment: 0.00 μB per formula unit
VASP energy: -2.004 eV per atom
crystal system: trigonal

***

[9]
# LaMg2Cd6

An optimized crystal structure of LaMg2Cd6 (PBE, Alexandria).

```
data_LaMg2Cd6
_chemical_formula_sum 'La1 Mg2 Cd6'
_cell_length_a 3.168
_cell_length_b 8.906
_cell_length_c 8.906
_cell_angle_alpha 120.00
_cell_angle_beta 90.00
_cell_angle_gamma 90.00
_symmetry_space_group_name_H-M 'P 1'
_symmetry_Int_Tables_number 1
_symmetry_space_group_name_Hall 'P 1'
loop_
_atom_site_label
_atom_site_fract_x
_atom_site_fract_y
_atom_site_fract_z
La1 0.000 0.000 0.000
Mg1 0.000 0.333 0.667
Mg2 0.000 0.667 0.333
Cd1 0.500 0.340 0.340
Cd2 0.500 0.660 0.660
Cd3 0.500 0.000 0.660
Cd4 0.500 0.660 0.000
Cd5 0.500 0.340 0.000
Cd6 0.500 0.000 0.340
```

energy above the lowest structure with this stoichiometry: 0 meV per atom
energy of formation from the pure elements: -141 meV/atom
size of the total moment: 0.05 μB per formula unit
VASP energy: -1.653 eV per atom
crystal system: hexagonal

***

[10]
# LaMg4Cd2

An optimized crystal structure of LaMg4Cd2 (PBE, Alexandria).

```
data_LaMg4Cd2
_chemical_formula_sum 'La1 Mg4 Cd2'
_cell_length_a 5.832
_cell_length_b 6.119
_cell_length_c 6.119
_cell_angle_alpha 76.49
_cell_angle_beta 61.74
_cell_angle_gamma 61.73
_symmetry_space_group_name_H-M 'P 1'
_symmetry_Int_Tables_number 1
_symmetry_space_group_name_Hall 'P 1'
loop_
_atom_site_label
_atom_site_fract_x
_atom_site_fract_y
_atom_site_fract_z
La1 0.000 0.000 0.000
Mg1 0.694 0.611 0.002
Mg2 0.306 0.389 0.998
Mg3 0.694 0.002 0.611
Mg4 0.306 0.998 0.389
Cd1 0.752 0.499 0.499
Cd2 0.248 0.501 0.501
```

energy of formation from the pure elements: -115 meV/atom
size of the total moment: 0.00 μB per formula unit
VASP energy: -1.991 eV per atom
crystal system: monoclinic

***

[11]
# La2Mg12Cd5

An optimized crystal structure of La2Mg12Cd5 (PBE, Alexandria).

```
data_La2Mg12Cd5
_chemical_formula_sum 'La2 Mg12 Cd5'
_cell_length_a 7.749
_cell_length_b 7.749
_cell_length_c 7.749
_cell_angle_alpha 82.54
_cell_angle_beta 82.54
_cell_angle_gamma 82.54
_symmetry_space_group_name_H-M 'P 1'
_symmetry_Int_Tables_number 1
_symmetry_space_group_name_Hall 'P 1'
loop_
_atom_site_label
_atom_site_fract_x
_atom_site_fract_y
_atom_site_fract_z
La1 0.669 0.669 0.669
La2 0.331 0.331 0.331
Mg1 0.300 0.700 0.000
Mg2 0.700 0.000 0.300
Mg3 0.000 0.300 0.700
Mg4 0.700 0.300 0.000
Mg5 0.300 0.000 0.700
Mg6 0.000 0.700 0.300
Mg7 0.349 0.349 0.843
Mg8 0.349 0.843 0.349
Mg9 0.843 0.349 0.349
Mg10 0.651 0.157 0.651
Mg11 0.651 0.651 0.157
Mg12 0.157 0.651 0.651
Cd1 0.000 0.000 0.500
Cd2 0.000 0.500 0.000
Cd3 0.500 0.000 0.000
Cd4 0.902 0.902 0.902
Cd5 0.098 0.098 0.098
```

energy of formation from the pure elements: -161 meV/atom
size of the total moment: 0.00 μB per formula unit
VASP energy: -1.927 eV per atom
crystal system: trigonal

***

The lowest energy of formation from the pure elements belongs to which entry? La3Mg2Cd4

***

The highest energy of formation from the pure elements belongs to which entry? LaMgCd

***

Number 8 is which compound? La2Mg16Cd

***

Look up the size of the total moment of the third one. 0.00 μB per formula unit